one | # V3CuPb

A relaxed V3CuPb crystal (PBE, Alexandria via LeMat-Bulk).

Cell lengths 5.1779, 5.1779, 5.1779 Å; angles 90.00, 90.00, 90.00 degrees
With the nearest neighbours (Å) after each atom.
Positions (direct):
V (0.0000, 0.0000, 0.5000)  2 Pb 2.59
V (0.0000, 0.5000, 0.0000)  2 Pb 2.59
V (0.5000, 0.0000, 0.0000)  2 Pb 2.59
Cu (0.5000, 0.5000, 0.5000)  12 V 3.66
Pb (0.0000, 0.0000, 0.0000)  6 V 2.59

D(E_F), states/eV/cell: 11.766
M_tot, μB/atom: 1.9888

two | # V3CuPb

A relaxed V3CuPb crystal (PBE, Alexandria via LeMat-Bulk).

Cell lengths 4.4668, 4.4668, 4.4668 Å; angles 90.00, 90.00, 90.00 degrees
With the nearest neighbours (Å) after each atom.
Positions (direct):
V (0.0000, 0.0000, 0.5000)  2 Cu 2.23
V (0.0000, 0.5000, 0.0000)  2 Cu 2.23
V (0.5000, 0.0000, 0.0000)  2 Cu 2.23
Cu (0.0000, 0.0000, 0.0000)  6 V 2.23
Pb (0.5000, 0.5000, 0.5000)  12 V 3.16

D(E_F), states/eV/cell: 5.529
M_tot, μB/atom: 0.0000

It is one that is the least stable of them.

one | # CuPbW

A relaxed CuPbW crystal (PBE, Alexandria via LeMat-Bulk).

Cell lengths 7.3672, 7.3672, 7.3672 Å; angles 157.10, 157.10, 32.61 degrees
With the nearest neighbours (Å) after each atom.
Positions (direct):
Cu (0.0000, 0.0000, 0.0000)  4 W 2.63, 4 Cu 2.93
Pb (0.2884, 0.2884, 0.0000)  4 Pb 2.93, 4 W 3.21
W (0.6150, 0.6150, 0.0000)  4 Cu 2.63, 4 W 2.93

D(E_F), states/eV/cell: 2.542
M_tot, μB/atom: 0.0000

two | # CuPbW

A relaxed CuPbW crystal (PBE, Alexandria via LeMat-Bulk).

Cell lengths 4.6222, 4.6222, 2.8713 Å; angles 90.00, 90.00, 120.00 degrees
With the nearest neighbours (Å) after each atom.
Positions (direct):
Cu (0.0000, 0.0000, 0.0000)  3 Pb 2.67, 2 Cu 2.87
Pb (0.3333, 0.6667, 0.0033)  3 Cu 2.67, 2 Pb 2.87
W (0.6667, 0.3333, 0.5019)  2 W 2.87, 6 Cu 3.03, 6 Pb 3.03

D(E_F), states/eV/cell: 1.744
M_tot, μB/atom: 0.0000

three | # CuPbW

A relaxed CuPbW crystal (PBE, Alexandria via LeMat-Bulk).

Cell lengths 3.0402, 3.0402, 7.0097 Å; angles 90.00, 90.00, 120.00 degrees
With the nearest neighbours (Å) after each atom.
Positions (direct):
Cu (0.0000, 0.0000, 0.0000)  3 W 2.66
Pb (0.3333, 0.6667, 0.3539)  3 Cu 3.04, 6 Pb 3.04, 3 W 3.08
W (0.6667, 0.3333, 0.7157)  3 Cu 2.66

D(E_F), states/eV/cell: 1.864
M_tot, μB/atom: 0.0000

four | # CuPbW

A relaxed CuPbW crystal (PBE, Alexandria via LeMat-Bulk).

Cell lengths 4.3878, 4.3878, 4.3878 Å; angles 60.00, 60.00, 60.00 degrees
With the nearest neighbours (Å) after each atom.
Positions (direct):
Cu (0.0000, 0.0000, 0.0000)  4 Pb 2.69, 4 W 2.69
Pb (0.2500, 0.2500, 0.2500)  4 Cu 2.69
W (0.7500, 0.7500, 0.7500)  4 Cu 2.69

D(E_F), states/eV/cell: 2.496
M_tot, μB/atom: 0.8301

It is four that is the least stable of them.